Material: Na2MgTiO
Method: DFT, meta-GGA SCAN
State: PBEsol geometry

Output
The total magnetization is 4.449 μB/cell. The symmetry is P4/mmm (123). The calculation puts the energy relative to the elements, uncorrected at 614 kJ/mol of formula units.

Lattice parameters (Å, degrees): 5.911 5.911 5.399 90.00 90.00 90.00
Element x y z (fractional)
Na 0.000 0.500 0.000
Na 0.500 0.000 0.000
Mg 0.000 0.000 0.500
Ti 0.000 0.000 0.000
O 0.500 0.500 0.500

***

Material: NaMg30TiO32
Method: DFT, meta-GGA SCAN
State: PBEsol geometry

Output
The total magnetization is 1.000 μB/cell. The symmetry is P4/mmm (123). The calculation puts the energy relative to the elements, uncorrected at -18403 kJ/mol of formula units.

Lattice parameters (Å, degrees): 8.470 8.470 8.449 90.00 90.00 90.00
Element x y z (fractional)
Na 0.000 0.000 0.000
Mg 0.000 0.253 0.246
Mg 0.000 0.253 0.754
Mg 0.000 0.500 0.000
Mg 0.000 0.500 0.500
Mg 0.000 0.747 0.246
Mg 0.000 0.747 0.754
Mg 0.249 0.249 0.000
Mg 0.249 0.751 0.000
Mg 0.250 0.500 0.249
Mg 0.250 0.500 0.751
Mg 0.251 0.251 0.500
Mg 0.251 0.749 0.500
Mg 0.253 0.000 0.246
Mg 0.253 0.000 0.754
Mg 0.500 0.000 0.000
Mg 0.500 0.000 0.500
Mg 0.500 0.250 0.249
Mg 0.500 0.250 0.751
Mg 0.500 0.500 0.000
Mg 0.500 0.500 0.500
Mg 0.500 0.750 0.249
Mg 0.500 0.750 0.751
Mg 0.747 0.000 0.246
Mg 0.747 0.000 0.754
Mg 0.749 0.251 0.500
Mg 0.749 0.749 0.500
Mg 0.750 0.500 0.249
Mg 0.750 0.500 0.751
Mg 0.751 0.249 0.000
Mg 0.751 0.751 0.000
Ti 0.000 0.000 0.500
O 0.000 0.000 0.269
O 0.000 0.000 0.731
O 0.000 0.250 0.500
O 0.000 0.262 0.000
O 0.000 0.500 0.253
O 0.000 0.500 0.747
O 0.000 0.738 0.000
O 0.000 0.750 0.500
O 0.249 0.249 0.251
O 0.249 0.249 0.749
O 0.249 0.751 0.251
O 0.249 0.751 0.749
O 0.250 0.000 0.500
O 0.250 0.500 0.500
O 0.252 0.500 0.000
O 0.262 0.000 0.000
O 0.500 0.000 0.253
O 0.500 0.000 0.747
O 0.500 0.250 0.500
O 0.500 0.252 0.000
O 0.500 0.500 0.251
O 0.500 0.500 0.749
O 0.500 0.748 0.000
O 0.500 0.750 0.500
O 0.738 0.000 0.000
O 0.748 0.500 0.000
O 0.750 0.000 0.500
O 0.750 0.500 0.500
O 0.751 0.249 0.251
O 0.751 0.249 0.749
O 0.751 0.751 0.251
O 0.751 0.751 0.749

***

Material: Na3Mg2V3O12
Method: DFT, meta-GGA SCAN
State: PBEsol geometry

Output
The total magnetization is 8.101 μB/cell. The symmetry is Ia-3d (230). The calculation puts the energy relative to the elements, uncorrected at -4639 kJ/mol of formula units.

Lattice parameters (Å, degrees): 10.788 10.788 10.788 109.47 109.47 109.47
Element x y z (fractional)
Na 0.125 0.250 0.375
Na 0.125 0.375 0.750
Na 0.250 0.375 0.125
Na 0.250 0.875 0.625
Na 0.375 0.125 0.250
Na 0.375 0.750 0.125
Na 0.625 0.250 0.875
Na 0.625 0.875 0.750
Na 0.750 0.125 0.375
Na 0.750 0.625 0.875
Na 0.875 0.625 0.250
Na 0.875 0.750 0.625
Mg 0.000 0.000 0.000
Mg 0.000 0.000 0.500
Mg 0.000 0.500 0.000
Mg 0.000 0.500 0.500
Mg 0.500 0.000 0.000
Mg 0.500 0.000 0.500
Mg 0.500 0.500 0.000
Mg 0.500 0.500 0.500
V 0.125 0.750 0.875
V 0.125 0.875 0.250
V 0.250 0.125 0.875
V 0.250 0.625 0.375
V 0.375 0.250 0.625
V 0.375 0.625 0.750
V 0.625 0.375 0.250
V 0.625 0.750 0.375
V 0.750 0.375 0.625
V 0.750 0.875 0.125
V 0.875 0.125 0.750
V 0.875 0.250 0.125
O 0.010 0.204 0.112
O 0.010 0.306 0.897
O 0.092 0.704 0.694
O 0.092 0.888 0.397
O 0.103 0.612 0.408
O 0.103 0.990 0.694
O 0.112 0.010 0.204
O 0.112 0.603 0.908
O 0.194 0.204 0.592
O 0.194 0.490 0.603
O 0.204 0.112 0.010
O 0.204 0.592 0.194
O 0.296 0.306 0.908
O 0.296 0.490 0.388
O 0.306 0.897 0.010
O 0.306 0.908 0.296
O 0.388 0.296 0.490
O 0.388 0.592 0.897
O 0.397 0.092 0.888
O 0.397 0.806 0.510
O 0.408 0.103 0.612
O 0.408 0.806 0.796
O 0.490 0.388 0.296
O 0.490 0.603 0.194
O 0.510 0.397 0.806
O 0.510 0.612 0.704
O 0.592 0.194 0.204
O 0.592 0.897 0.388
O 0.603 0.194 0.490
O 0.603 0.908 0.112
O 0.612 0.408 0.103
O 0.612 0.704 0.510
O 0.694 0.092 0.704
O 0.694 0.103 0.990
O 0.704 0.510 0.612
O 0.704 0.694 0.092
O 0.796 0.408 0.806
O 0.796 0.888 0.990
O 0.806 0.510 0.397
O 0.806 0.796 0.408
O 0.888 0.397 0.092
O 0.888 0.990 0.796
O 0.897 0.010 0.306
O 0.897 0.388 0.592
O 0.908 0.112 0.603
O 0.908 0.296 0.306
O 0.990 0.694 0.103
O 0.990 0.796 0.888

***

Material: NaMg30WO32
Method: DFT, meta-GGA SCAN
State: PBEsol geometry

Output
The total magnetization is 3.000 μB/cell. The symmetry is P4/mmm (123). The calculation puts the energy relative to the elements, uncorrected at -17853 kJ/mol of formula units.

Lattice parameters (Å, degrees): 8.477 8.477 8.476 90.00 90.00 90.00
Element x y z (fractional)
Na 0.000 0.000 0.000
Mg 0.000 0.000 0.500
Mg 0.000 0.248 0.249
Mg 0.000 0.248 0.751
Mg 0.000 0.500 0.000
Mg 0.000 0.500 0.500
Mg 0.000 0.752 0.249
Mg 0.000 0.752 0.751
Mg 0.245 0.245 0.000
Mg 0.245 0.755 0.000
Mg 0.246 0.500 0.253
Mg 0.246 0.500 0.747
Mg 0.248 0.000 0.249
Mg 0.248 0.000 0.751
Mg 0.249 0.249 0.500
Mg 0.249 0.751 0.500
Mg 0.500 0.000 0.000
Mg 0.500 0.000 0.500
Mg 0.500 0.246 0.253
Mg 0.500 0.246 0.747
Mg 0.500 0.500 0.500
Mg 0.500 0.754 0.253
Mg 0.500 0.754 0.747
Mg 0.751 0.249 0.500
Mg 0.751 0.751 0.500
Mg 0.752 0.000 0.249
Mg 0.752 0.000 0.751
Mg 0.754 0.500 0.253
Mg 0.754 0.500 0.747
Mg 0.755 0.245 0.000
Mg 0.755 0.755 0.000
W 0.500 0.500 0.000
O 0.000 0.000 0.263
O 0.000 0.000 0.737
O 0.000 0.253 0.500
O 0.000 0.263 0.000
O 0.000 0.500 0.252
O 0.000 0.500 0.748
O 0.000 0.737 0.000
O 0.000 0.747 0.500
O 0.250 0.500 0.000
O 0.251 0.251 0.249
O 0.251 0.251 0.751
O 0.251 0.500 0.500
O 0.251 0.749 0.249
O 0.251 0.749 0.751
O 0.253 0.000 0.500
O 0.263 0.000 0.000
O 0.500 0.000 0.252
O 0.500 0.000 0.748
O 0.500 0.250 0.000
O 0.500 0.251 0.500
O 0.500 0.500 0.252
O 0.500 0.500 0.748
O 0.500 0.749 0.500
O 0.500 0.750 0.000
O 0.737 0.000 0.000
O 0.747 0.000 0.500
O 0.749 0.251 0.249
O 0.749 0.251 0.751
O 0.749 0.500 0.500
O 0.749 0.749 0.249
O 0.749 0.749 0.751
O 0.750 0.500 0.000

***

Material: Na3Mg2W3O12
Method: DFT, meta-GGA SCAN
State: PBEsol geometry

Output
The total magnetization is 2.001 μB/cell. The symmetry is C2/c (15). The calculation puts the energy relative to the elements, uncorrected at -4591 kJ/mol of formula units.

Lattice parameters (Å, degrees): 8.946 8.946 7.160 104.97 104.97 95.91
Element x y z (fractional)
Na 0.000 0.000 0.000
Na 0.000 0.000 0.500
Na 0.231 0.769 0.750
Na 0.475 0.525 0.250
Na 0.525 0.475 0.750
Na 0.769 0.231 0.250
Mg 0.134 0.449 0.880
Mg 0.449 0.134 0.380
Mg 0.551 0.866 0.620
Mg 0.866 0.551 0.120
W 0.160 0.391 0.381
W 0.221 0.779 0.250
W 0.391 0.160 0.881
W 0.609 0.840 0.119
W 0.779 0.221 0.750
W 0.840 0.609 0.619
O 0.023 0.757 0.274
O 0.038 0.207 0.319
O 0.092 0.457 0.158
O 0.149 0.503 0.624
O 0.207 0.038 0.819
O 0.243 0.977 0.226
O 0.290 0.664 0.040
O 0.336 0.710 0.460
O 0.343 0.354 0.906
O 0.354 0.343 0.406
O 0.457 0.092 0.658
O 0.497 0.851 0.876
O 0.503 0.149 0.124
O 0.543 0.908 0.342
O 0.646 0.657 0.594
O 0.657 0.646 0.094
O 0.664 0.290 0.540
O 0.710 0.336 0.960
O 0.757 0.023 0.774
O 0.793 0.962 0.181
O 0.851 0.497 0.376
O 0.908 0.543 0.842
O 0.962 0.793 0.681
O 0.977 0.243 0.726

***

Material: NaYMg30O32
Method: DFT, meta-GGA SCAN
State: PBEsol geometry

Output
The total magnetization is 0.000 μB/cell. The symmetry is P4/mmm (123). The calculation puts the energy relative to the elements, uncorrected at -18449 kJ/mol of formula units.

Lattice parameters (Å, degrees): 8.513 8.513 8.509 90.00 90.00 90.00
Element x y z (fractional)
Na 0.000 0.000 0.000
Y 0.500 0.500 0.000
Mg 0.000 0.000 0.500
Mg 0.000 0.247 0.249
Mg 0.000 0.247 0.751
Mg 0.000 0.500 0.000
Mg 0.000 0.500 0.500
Mg 0.000 0.753 0.249
Mg 0.000 0.753 0.751
Mg 0.242 0.242 0.000
Mg 0.242 0.758 0.000
Mg 0.243 0.500 0.256
Mg 0.243 0.500 0.744
Mg 0.247 0.000 0.249
Mg 0.247 0.000 0.751
Mg 0.248 0.248 0.500
Mg 0.248 0.752 0.500
Mg 0.500 0.000 0.000
Mg 0.500 0.000 0.500
Mg 0.500 0.243 0.256
Mg 0.500 0.243 0.744
Mg 0.500 0.500 0.500
Mg 0.500 0.757 0.256
Mg 0.500 0.757 0.744
Mg 0.752 0.248 0.500
Mg 0.752 0.752 0.500
Mg 0.753 0.000 0.249
Mg 0.753 0.000 0.751
Mg 0.757 0.500 0.256
Mg 0.757 0.500 0.744
Mg 0.758 0.242 0.000
Mg 0.758 0.758 0.000
O 0.000 0.000 0.263
O 0.000 0.000 0.737
O 0.000 0.252 0.500
O 0.000 0.262 0.000
O 0.000 0.500 0.254
O 0.000 0.500 0.746
O 0.000 0.738 0.000
O 0.000 0.748 0.500
O 0.243 0.500 0.000
O 0.250 0.500 0.500
O 0.251 0.251 0.250
O 0.251 0.251 0.750
O 0.251 0.749 0.250
O 0.251 0.749 0.750
O 0.252 0.000 0.500
O 0.262 0.000 0.000
O 0.500 0.000 0.254
O 0.500 0.000 0.746
O 0.500 0.243 0.000
O 0.500 0.250 0.500
O 0.500 0.500 0.259
O 0.500 0.500 0.741
O 0.500 0.750 0.500
O 0.500 0.757 0.000
O 0.738 0.000 0.000
O 0.748 0.000 0.500
O 0.749 0.251 0.250
O 0.749 0.251 0.750
O 0.749 0.749 0.250
O 0.749 0.749 0.750
O 0.750 0.500 0.500
O 0.757 0.500 0.000

***

Material: NaYMg14O16
Method: DFT, meta-GGA SCAN
State: PBEsol geometry

Output
The total magnetization is 0.053 μB/cell. The symmetry is P4/mmm (123). As for the relative energy among the computed polymorphs: 0.0 meV per atom. The calculation puts the energy relative to the elements, uncorrected at -9118 kJ/mol of formula units.

Lattice parameters (Å, degrees): 8.583 8.583 4.308 90.00 90.00 90.00
Element x y z (fractional)
Na 0.000 0.000 0.000
Y 0.500 0.500 0.000
Mg 0.000 0.244 0.500
Mg 0.000 0.500 0.000
Mg 0.000 0.756 0.500
Mg 0.236 0.500 0.500
Mg 0.240 0.240 0.000
Mg 0.240 0.760 0.000
Mg 0.244 0.000 0.500
Mg 0.500 0.000 0.000
Mg 0.500 0.236 0.500
Mg 0.500 0.764 0.500
Mg 0.756 0.000 0.500
Mg 0.760 0.240 0.000
Mg 0.760 0.760 0.000
Mg 0.764 0.500 0.500
O 0.000 0.000 0.500
O 0.000 0.263 0.000
O 0.000 0.500 0.500
O 0.000 0.737 0.000
O 0.243 0.500 0.000
O 0.252 0.252 0.500
O 0.252 0.748 0.500
O 0.263 0.000 0.000
O 0.500 0.000 0.500
O 0.500 0.243 0.000
O 0.500 0.500 0.500
O 0.500 0.757 0.000
O 0.737 0.000 0.000
O 0.748 0.252 0.500
O 0.748 0.748 0.500
O 0.757 0.500 0.000

***

Material: NaYMg14O16
Method: DFT, meta-GGA SCAN
State: PBEsol geometry

Output
The total magnetization is 0.064 μB/cell. The symmetry is Pmmm (47). As for the relative energy among the computed polymorphs: 4.0 meV per atom. The calculation puts the energy relative to the elements, uncorrected at -9106 kJ/mol of formula units.

Lattice parameters (Å, degrees): 4.301 8.554 8.639 90.00 90.00 90.00
Element x y z (fractional)
Na 0.000 0.000 0.000
Y 0.000 0.000 0.500
Mg 0.000 0.254 0.240
Mg 0.000 0.254 0.760
Mg 0.000 0.500 0.000
Mg 0.000 0.500 0.500
Mg 0.000 0.746 0.240
Mg 0.000 0.746 0.760
Mg 0.500 0.000 0.233
Mg 0.500 0.000 0.767
Mg 0.500 0.249 0.000
Mg 0.500 0.261 0.500
Mg 0.500 0.500 0.246
Mg 0.500 0.500 0.754
Mg 0.500 0.739 0.500
Mg 0.500 0.751 0.000
O 0.000 0.000 0.251
O 0.000 0.000 0.749
O 0.000 0.260 0.500
O 0.000 0.266 0.000
O 0.000 0.500 0.252
O 0.000 0.500 0.748
O 0.000 0.734 0.000
O 0.000 0.740 0.500
O 0.500 0.000 0.000
O 0.500 0.000 0.500
O 0.500 0.250 0.252
O 0.500 0.250 0.748
O 0.500 0.500 0.000
O 0.500 0.500 0.500
O 0.500 0.750 0.252
O 0.500 0.750 0.748

***

Material: NaMgTa2Os
Method: DFT, meta-GGA SCAN
State: PBEsol geometry

Output
The total magnetization is 0.000 μB/cell. The symmetry is P4/mmm (123). The value obtained for the formation energy is 2347.2 meV per atom.

Lattice parameters (Å, degrees): 4.637 4.637 4.178 90.00 90.00 90.00
Element x y z (fractional)
Na 0.000 0.000 0.000
Mg 0.000 0.000 0.500
Ta 0.000 0.500 0.000
Ta 0.500 0.000 0.000
Os 0.500 0.500 0.500

***

Number 1 is which compound? Na2MgTiO

***

What did the third record say?
Material: Na3Mg2V3O12
Method: DFT, meta-GGA SCAN
State: PBEsol geometry

Output
The total magnetization is 8.101 μB/cell. The symmetry is Ia-3d (230). The calculation puts the energy relative to the elements, uncorrected at -4639 kJ/mol of formula units.

Lattice parameters (Å, degrees): 10.788 10.788 10.788 109.47 109.47 109.47
Element x y z (fractional)
Na 0.125 0.250 0.375
Na 0.125 0.375 0.750
Na 0.250 0.375 0.125
Na 0.250 0.875 0.625
Na 0.375 0.125 0.250
Na 0.375 0.750 0.125
Na 0.625 0.250 0.875
Na 0.625 0.875 0.750
Na 0.750 0.125 0.375
Na 0.750 0.625 0.875
Na 0.875 0.625 0.250
Na 0.875 0.750 0.625
Mg 0.000 0.000 0.000
Mg 0.000 0.000 0.500
Mg 0.000 0.500 0.000
Mg 0.000 0.500 0.500
Mg 0.500 0.000 0.000
Mg 0.500 0.000 0.500
Mg 0.500 0.500 0.000
Mg 0.500 0.500 0.500
V 0.125 0.750 0.875
V 0.125 0.875 0.250
V 0.250 0.125 0.875
V 0.250 0.625 0.375
V 0.375 0.250 0.625
V 0.375 0.625 0.750
V 0.625 0.375 0.250
V 0.625 0.750 0.375
V 0.750 0.375 0.625
V 0.750 0.875 0.125
V 0.875 0.125 0.750
V 0.875 0.250 0.125
O 0.010 0.204 0.112
O 0.010 0.306 0.897
O 0.092 0.704 0.694
O 0.092 0.888 0.397
O 0.103 0.612 0.408
O 0.103 0.990 0.694
O 0.112 0.010 0.204
O 0.112 0.603 0.908
O 0.194 0.204 0.592
O 0.194 0.490 0.603
O 0.204 0.112 0.010
O 0.204 0.592 0.194
O 0.296 0.306 0.908
O 0.296 0.490 0.388
O 0.306 0.897 0.010
O 0.306 0.908 0.296
O 0.388 0.296 0.490
O 0.388 0.592 0.897
O 0.397 0.092 0.888
O 0.397 0.806 0.510
O 0.408 0.103 0.612
O 0.408 0.806 0.796
O 0.490 0.388 0.296
O 0.490 0.603 0.194
O 0.510 0.397 0.806
O 0.510 0.612 0.704
O 0.592 0.194 0.204
O 0.592 0.897 0.388
O 0.603 0.194 0.490
O 0.603 0.908 0.112
O 0.612 0.408 0.103
O 0.612 0.704 0.510
O 0.694 0.092 0.704
O 0.694 0.103 0.990
O 0.704 0.510 0.612
O 0.704 0.694 0.092
O 0.796 0.408 0.806
O 0.796 0.888 0.990
O 0.806 0.510 0.397
O 0.806 0.796 0.408
O 0.888 0.397 0.092
O 0.888 0.990 0.796
O 0.897 0.010 0.306
O 0.897 0.388 0.592
O 0.908 0.112 0.603
O 0.908 0.296 0.306
O 0.990 0.694 0.103
O 0.990 0.796 0.888

***

What is the formula in the sixth record? NaYMg30O32